(1)
Entry from Alexandria via LeMat-Bulk: BaSc3Hg after structural relaxation (PBE).

Results
Total magnetization: 0.00 μB/f.u.
DOS at the Fermi energy: 6.97 states/eV/cell
Volume: 165 Å³/cell
Calculated formation energy: 1.051 eV per formula unit
Energy above the lowest structure with this stoichiometry: 0.0000 eV per atom

Structure (POSCAR):
```
BaSc3Hg
1.0
5.4835 0.0000 0.0000
0.0000 5.4835 0.0000
0.0000 0.0000 5.4835
Ba Sc Hg
1 3 1
Direct
0.0000 0.0000 0.0000
0.0000 0.5000 0.5000
0.5000 0.0000 0.5000
0.5000 0.5000 0.0000
0.5000 0.5000 0.5000
```

---

(2)
Entry from Alexandria via LeMat-Bulk: Ba2ScHg after structural relaxation (PBE).

Results
Total magnetization: 1.16 μB/f.u.
DOS at the Fermi energy: 6.29 states/eV/cell
Volume: 156 Å³/cell
Calculated formation energy: -0.380 eV per formula unit

Structure (POSCAR):
```
Ba2ScHg
1.0
3.9403 0.0000 0.0000
0.0000 3.9403 0.0000
0.0000 0.0000 10.0449
Ba Sc Hg
2 1 1
Direct
0.0000 0.0000 0.0000
0.5000 0.5000 0.3744
0.5000 0.5000 0.7282
0.0000 0.0000 0.6145
```

---

(3)
Entry from Alexandria via LeMat-Bulk: Ba2ScHg after structural relaxation (PBE).

Results
Total magnetization: 0.00 μB/f.u.
DOS at the Fermi energy: 40.04 states/eV/cell
Volume: 639 Å³/cell
Calculated formation energy: 0.912 eV per formula unit

Structure (POSCAR):
```
Ba2ScHg
1.0
9.5958 0.0000 0.0000
0.0000 9.5958 0.0000
0.0000 0.0000 6.9447
Ba Sc Hg
8 4 4
Direct
0.2139 0.2500 0.1250
0.2500 0.7139 0.3750
0.2500 0.7861 0.8750
0.2861 0.2500 0.6250
0.7139 0.7500 0.6250
0.7500 0.2139 0.8750
0.7500 0.2861 0.3750
0.7861 0.7500 0.1250
0.0000 0.0000 0.5000
0.0000 0.5000 0.7500
0.5000 0.0000 0.2500
0.5000 0.5000 0.0000
0.0000 0.0000 0.0000
0.0000 0.5000 0.2500
0.5000 0.0000 0.7500
0.5000 0.5000 0.5000
```

---

(4)
Entry from Alexandria via LeMat-Bulk: Ba2ScHg after structural relaxation (PBE).

Results
Total magnetization: 0.00 μB/f.u.
DOS at the Fermi energy: 7.15 states/eV/cell
Volume: 159 Å³/cell
Calculated formation energy: -0.076 eV per formula unit

Structure (POSCAR):
```
Ba2ScHg
1.0
4.3148 0.0000 0.0000
0.0000 5.1313 0.0000
-2.1551 0.0000 7.1845
Ba Sc Hg
2 1 1
Direct
0.0000 0.0000 0.0000
0.3113 0.5000 0.6253
0.7009 0.0000 0.4042
0.6004 0.5000 0.1999
```